Record 1
# KBa3As

A geometry-optimized KBa3As structure (GGA-PBEsol, the Alexandria database).

Cell and atoms, written as POSCAR:
```
KBa3As
1.0
6.496 0.000 0.000
0.000 6.496 0.000
0.000 0.000 6.496
K Ba As
1 3 1
Cartesian
0.000 0.000 0.000 K
0.000 3.248 3.248 Ba
3.248 0.000 3.248 Ba
3.248 3.248 0.000 Ba
3.248 3.248 3.248 As
```

The formation energy comes out at -0.442 eV/atom. Its symmetry is Pm-3m, No. 221.


Record 2
# BaMnCr2

A geometry-optimized BaMnCr2 structure (GGA-PBEsol, the Alexandria database).

Cell and atoms, written as POSCAR:
```
BaMnCr2
1.0
1.988 1.148 6.000
-1.988 1.148 6.000
0.000 -2.295 6.000
Ba Mn Cr
1 1 2
Cartesian
0.000 0.000 0.000 Ba
0.000 0.000 14.559 Mn
0.000 0.000 3.438 Cr
0.000 0.000 8.927 Cr
```

The formation energy comes out at 0.768 eV/atom. Its symmetry is R3m, No. 160.


Record 3
# Ta2HgTe

A geometry-optimized Ta2HgTe structure (GGA-PBEsol, the Alexandria database).

Cell and atoms, written as POSCAR:
```
Ta2HgTe
1.0
4.863 0.000 0.000
0.000 4.863 0.000
0.000 0.000 3.179
Ta Hg Te
2 1 1
Cartesian
0.000 2.432 0.000 Ta
2.432 0.000 0.000 Ta
0.000 0.000 1.590 Hg
2.432 2.432 1.590 Te
```

For the relative energy among the computed polymorphs, the calculation gives 173 meV/atom. As for the formation energy without anion corrections: 326 meV/atom. Its symmetry is P4/mmm, No. 123.


Record 4
# Mg2BP3H6O14

A geometry-optimized Mg2BP3H6O14 structure (GGA-PBEsol, the Alexandria database).

Cell and atoms, written as POSCAR:
```
Mg2BP3H6O14
1.0
7.074 0.000 0.000
0.000 8.644 0.000
0.000 0.000 16.322
Mg B P H O
8 4 12 24 56
Cartesian
1.237 1.740 4.775 Mg
1.252 7.210 5.029 Mg
2.285 1.435 13.190 Mg
2.299 6.905 12.936 Mg
4.774 2.583 11.547 Mg
4.789 5.757 11.293 Mg
5.821 2.888 3.132 Mg
5.836 6.062 3.386 Mg
1.105 5.031 14.999 B
2.432 3.613 6.838 B
4.642 7.936 1.323 B
5.969 0.709 9.484 B
0.131 0.070 2.240 P
0.343 4.251 12.508 P
1.009 4.592 1.391 P
2.528 4.052 9.552 P
3.194 4.393 4.347 P
3.405 8.575 10.401 P
3.668 4.253 14.082 P
3.880 0.071 3.814 P
4.546 8.375 14.931 P
6.065 0.270 6.770 P
6.731 8.574 11.975 P
6.942 4.392 5.921 P
0.517 6.936 14.873 H
1.345 0.038 9.689 H
1.341 2.838 10.933 H
1.421 5.626 10.417 H
1.443 0.923 15.817 H
1.763 6.206 7.464 H
1.774 2.438 15.625 H
2.094 7.721 7.656 H
2.116 3.018 2.256 H
2.196 5.806 2.772 H
2.192 8.606 1.528 H
3.020 1.708 6.712 H
4.054 6.030 1.449 H
4.878 1.484 5.389 H
4.882 4.284 6.633 H
4.958 7.340 5.905 H
4.980 3.399 0.505 H
5.300 6.760 8.858 H
5.310 1.884 0.697 H
5.630 5.245 8.666 H
5.653 1.304 14.066 H
5.729 4.360 14.794 H
5.733 7.160 13.550 H
6.557 2.614 9.610 H
0.097 4.432 14.065 O
0.117 0.244 5.752 O
0.199 1.392 3.003 O
0.233 7.493 3.150 O
0.460 4.840 16.298 O
1.050 8.511 12.623 O
1.089 2.915 12.311 O
1.151 5.441 11.989 O
1.167 4.366 6.783 O
1.258 0.038 1.133 O
1.340 6.422 14.700 O
1.467 2.952 9.871 O
1.589 1.613 15.124 O
1.741 3.203 1.319 O
1.796 5.441 9.480 O
1.947 7.031 6.963 O
2.069 5.693 1.710 O
2.197 2.222 6.538 O
2.279 8.606 9.294 O
2.369 4.278 14.944 O
2.386 3.203 3.828 O
2.448 5.730 4.150 O
2.487 0.133 4.462 O
3.077 3.804 8.137 O
3.304 1.151 11.311 O
3.338 7.252 11.165 O
3.420 8.400 13.913 O
3.440 4.212 5.904 O
3.634 8.534 2.257 O
3.654 4.078 10.571 O
3.736 2.930 13.319 O
3.770 5.473 13.173 O
3.996 8.126 0.024 O
4.586 4.456 3.699 O
4.625 1.407 4.011 O
4.688 7.525 4.334 O
4.704 8.600 9.539 O
4.795 4.284 15.189 O
4.877 6.544 1.623 O
5.004 1.371 6.452 O
5.126 2.709 1.198 O
5.278 1.119 15.003 O
5.333 7.525 6.842 O
5.484 5.935 9.359 O
5.606 7.274 14.613 O
5.734 2.100 9.784 O
5.816 4.360 7.028 O
5.906 0.044 1.378 O
5.923 1.119 12.495 O
5.985 7.237 12.172 O
6.024 4.189 11.860 O
6.614 0.518 8.185 O
6.841 3.171 5.011 O
6.874 5.715 5.158 O
6.956 4.566 2.409 O
6.976 0.110 10.418 O
```

The uncorrected energy comes out at -6.662 eV/atom. Its symmetry is P2_12_12_1, No. 19.


Record 5
# CdBr2N

A geometry-optimized CdBr2N structure (GGA-PBEsol, the Alexandria database).

Cell and atoms, written as POSCAR:
```
CdBr2N
1.0
2.820 1.628 7.134
-2.820 1.628 7.134
0.000 -3.257 7.134
Cd Br N
1 2 1
Cartesian
0.000 0.000 0.000 Cd
0.000 0.000 2.384 Br
0.000 0.000 19.019 Br
0.000 0.000 10.701 N
```

As for the formation energy without anion corrections: 1027 meV/atom. Its symmetry is R-3m, No. 166.


Record 6
# AgPt2

A geometry-optimized AgPt2 structure (GGA-PBEsol, the Alexandria database).

Cell and atoms, written as POSCAR:
```
AgPt2
1.0
7.867 0.000 0.000
0.000 2.755 0.000
0.000 0.000 8.493
Ag Pt
4 8
Cartesian
0.992 0.689 0.677 Ag
2.942 2.066 4.924 Ag
4.925 0.689 3.569 Ag
6.875 2.066 7.816 Ag
0.926 0.689 3.501 Pt
1.029 0.689 6.389 Pt
2.904 2.066 2.143 Pt
3.007 2.066 7.748 Pt
4.859 0.689 0.746 Pt
4.962 0.689 6.351 Pt
6.838 2.066 2.104 Pt
6.941 2.066 4.992 Pt
```

For the relative energy among the computed polymorphs, the calculation gives 2 meV/atom. The formation energy comes out at -0.001 eV/atom. Its symmetry is Pnma, No. 62.


Which total magnetization belongs to each record? In order, 0.00 1.91 0.00 0.00 2.99 0.00 Bohr magnetons per cell.